A geometry-optimized ErPuTh2As4 structure, computed with PBE-GGA.

The structure in extended XYZ format:
```
8
Lattice="7.2220 0.0000 0.0000 0.0000 4.2084 0.0000 -2.4521 0.0000 6.8473" Properties=species:S:1:pos:R:3 pbc="T T T"
Er 0.0000 0.0000 0.0000
Pu -1.2260 2.1042 3.4237
Th 2.3850 0.0000 3.4237
Th 3.6110 2.1042 0.0000
As -0.0892 0.0000 5.1278
As 1.1435 2.1042 1.6781
As 4.8591 0.0000 1.7195
As 3.6264 2.1042 5.1692
```

Values from the calculation:
For the formation energy, the calculation gives -1.352 eV per atom.

=====

A geometry-optimized BeIrF structure, computed with PBE-GGA.

The structure in extended XYZ format:
```
12
Lattice="4.7865 0.0000 0.0000 0.0000 2.5316 0.0000 0.0000 0.0000 14.1449" Properties=species:S:1:pos:R:3 pbc="T T T"
Be 1.0250 0.6329 1.8076
Be 1.3682 1.8987 8.8800
Be 3.4183 0.6329 5.2649
Be 3.7615 1.8987 12.3373
Ir 0.9391 0.6329 10.9946
Ir 1.4542 1.8987 3.9222
Ir 3.3323 0.6329 10.2228
Ir 3.8474 1.8987 3.1503
F 1.1769 1.8987 0.8685
F 1.2163 0.6329 7.9410
F 3.5702 1.8987 6.2040
F 3.6096 0.6329 13.2764
```

Values from the calculation:
The value obtained for the uncorrected formation energy is -1.20 eV/atom. As for the distance to the lowest polymorph of the same formula: 0.228 eV/atom.

=====

A geometry-optimized Li2ErZn2Si2 structure, computed with PBE-GGA.

The structure in extended XYZ format:
```
7
Lattice="2.0730 1.1968 7.8090 -2.0730 1.1968 7.8090 0.0000 -2.3937 7.8090" Properties=species:S:1:pos:R:3 pbc="T T T"
Li 0.0000 0.0000 3.3218
Li 0.0000 0.0000 20.1052
Er 0.0000 0.0000 0.0000
Zn 0.0000 0.0000 9.9683
Zn 0.0000 0.0000 13.4587
Si 0.0000 0.0000 6.0166
Si 0.0000 0.0000 17.4104
```

Values from the calculation:
The value obtained for the uncorrected formation energy is -0.44 eV/atom.

=====

A geometry-optimized Ca2ZnIn2 structure, computed with PBE-GGA.

The structure in extended XYZ format:
```
10
Lattice="8.7069 0.0000 0.0000 0.0000 8.7069 0.0000 0.0000 0.0000 4.0167" Properties=species:S:1:pos:R:3 pbc="T T T"
Ca 1.5032 2.8502 0.0000
Ca 2.8502 7.2037 0.0000
Ca 5.8567 1.5032 0.0000
Ca 7.2037 5.8567 0.0000
Zn 0.0000 0.0000 0.0000
Zn 4.3535 4.3535 0.0000
In 1.0890 5.4425 2.0083
In 3.2644 1.0890 2.0083
In 5.4425 7.6179 2.0083
In 7.6179 3.2644 2.0083
```

Values from the calculation:
For the formation energy, the calculation gives -0.115 eV per atom. As for the distance to the lowest polymorph of the same formula: 0.268 eV/atom.

=====

A geometry-optimized HgSbAu structure, computed with PBE-GGA.

The structure in extended XYZ format:
```
6
Lattice="3.3017 0.0000 0.0000 0.0000 3.3017 0.0000 0.0000 0.0000 12.8508" Properties=species:S:1:pos:R:3 pbc="T T T"
Hg 0.0000 0.0000 0.0000
Hg 1.6508 1.6508 6.4254
Sb 0.0000 0.0000 3.9222
Sb 1.6508 1.6508 10.3476
Au 0.0000 0.0000 8.4614
Au 1.6508 1.6508 2.0360
```

Values from the calculation:
The value obtained for the uncorrected formation energy is 0.16 eV/atom.

=====

A geometry-optimized La2RhAu structure, computed with PBE-GGA.

The structure in extended XYZ format:
```
16
Lattice="7.0816 0.0000 0.0000 0.0000 7.0816 0.0000 0.0000 0.0000 7.0816" Properties=species:S:1:pos:R:3 pbc="T T T"
La 0.0000 0.0000 0.0000
La 0.0000 3.5408 3.5408
La 1.7704 1.7704 1.7704
La 1.7704 5.3112 5.3112
La 3.5408 0.0000 3.5408
La 3.5408 3.5408 0.0000
La 5.3112 1.7704 5.3112
La 5.3112 5.3112 1.7704
Rh 1.7704 1.7704 5.3112
Rh 1.7704 5.3112 1.7704
Rh 5.3112 1.7704 1.7704
Rh 5.3112 5.3112 5.3112
Au 0.0000 0.0000 3.5408
Au 0.0000 3.5408 0.0000
Au 3.5408 0.0000 0.0000
Au 3.5408 3.5408 3.5408
```

Values from the calculation:
For the formation energy, the calculation gives -0.535 eV per atom.

=====

The evaluated E for the records listed, in turn: -63.2; -72.2; -24.8; -22.7; -14.5; -90.5 eV for the cell shown.